# 1
# Sn6Pb4Cl19 PBE relaxed
data_Sn6Pb4Cl19
_chemical_formula_sum 'Sn12 Pb8 Cl38'
_cell_length_a 12.2783
_cell_length_b 12.2783
_cell_length_c 12.2783
_cell_angle_alpha 90.00
_cell_angle_beta 90.00
_cell_angle_gamma 90.00
_symmetry_space_group_name_H-M 'I 2 3'
_symmetry_Int_Tables_number 197
_symmetry_space_group_name_Hall 'I 2 2 3'
loop_
_atom_site_label
_atom_site_fract_x
_atom_site_fract_y
_atom_site_fract_z
_atom_site_occupancy
Sn1 0.0000 0.1388 0.5000 1
Pb1 0.1381 0.1381 0.1381 1
Cl1 0.0000 0.0000 0.0000 1
Cl2 0.0000 0.0000 0.2754 1
Cl3 0.0608 0.2795 0.3397 1
# - Crystal system: cubic
# - E_form (uncorrected): -972 meV per atom

---

# 2
# LiDy2Mg3 PBE relaxed
data_LiDy2Mg3
_chemical_formula_sum 'Li1 Dy2 Mg3'
_cell_length_a 3.6586
_cell_length_b 3.6586
_cell_length_c 11.3435
_cell_angle_alpha 90.00
_cell_angle_beta 90.00
_cell_angle_gamma 90.00
_symmetry_space_group_name_H-M 'P 4/m m m'
_symmetry_Int_Tables_number 123
_symmetry_space_group_name_Hall '-P 4 2'
loop_
_atom_site_label
_atom_site_fract_x
_atom_site_fract_y
_atom_site_fract_z
_atom_site_occupancy
Li1 0.0000 0.0000 0.0000 1
Dy1 0.0000 0.0000 0.3320 1
Mg1 0.5000 0.5000 0.1452 1
Mg2 0.5000 0.5000 0.5000 1
# - Crystal system: tetragonal
# - DFT formation energy: -58 meV/atom
# - Polymorph energy (0 for the lowest one): 0.000 eV/atom

---

# 3
# KNdAg2I6 PBE relaxed
data_KNdAg2I6
_chemical_formula_sum 'K1 Nd1 Ag2 I6'
_cell_length_a 8.1156
_cell_length_b 8.1177
_cell_length_c 9.3299
_cell_angle_alpha 64.21
_cell_angle_beta 64.25
_cell_angle_gamma 60.04
_symmetry_space_group_name_H-M 'P -1'
_symmetry_Int_Tables_number 2
_symmetry_space_group_name_Hall '-P 1'
loop_
_atom_site_label
_atom_site_fract_x
_atom_site_fract_y
_atom_site_fract_z
_atom_site_occupancy
K1 0.0000 0.0000 0.0000 1
Nd1 0.5000 0.5000 0.5000 1
Ag1 0.2344 0.2339 0.2971 1
I1 0.1093 0.7348 0.7287 1
I2 0.2662 0.5722 0.2705 1
I3 0.4276 0.1092 0.7296 1
# - Crystal system: triclinic
# - E_form (uncorrected): -930 meV per atom

---

# 4
# Mn2AuI PBE relaxed
data_Mn2AuI
_chemical_formula_sum 'Mn2 Au1 I1'
_cell_length_a 3.4969
_cell_length_b 3.5743
_cell_length_c 7.7193
_cell_angle_alpha 90.00
_cell_angle_beta 103.24
_cell_angle_gamma 90.00
_symmetry_space_group_name_H-M 'P 1 m 1'
_symmetry_Int_Tables_number 6
_symmetry_space_group_name_Hall 'P -2y'
loop_
_atom_site_label
_atom_site_fract_x
_atom_site_fract_y
_atom_site_fract_z
_atom_site_occupancy
Mn1 0.0000 0.0000 0.0000 1
Mn2 0.4035 0.5000 0.8091 1
Au1 0.8236 0.0000 0.6509 1
I1 0.6358 0.0000 0.2689 1
# - Crystal system: monoclinic
# - E_form (uncorrected): 347 meV per atom
# - Polymorph energy (0 for the lowest one): 0.086 eV/atom

---

# 5
# BaHfTlSn2 PBE relaxed
data_BaHfTlSn2
_chemical_formula_sum 'Ba1 Hf1 Tl1 Sn2'
_cell_length_a 5.6069
_cell_length_b 5.6069
_cell_length_c 6.0247
_cell_angle_alpha 90.00
_cell_angle_beta 90.00
_cell_angle_gamma 90.00
_symmetry_space_group_name_H-M 'P 4/m m m'
_symmetry_Int_Tables_number 123
_symmetry_space_group_name_Hall '-P 4 2'
loop_
_atom_site_label
_atom_site_fract_x
_atom_site_fract_y
_atom_site_fract_z
_atom_site_occupancy
Ba1 0.0000 0.0000 0.0000 1
Hf1 0.0000 0.0000 0.5000 1
Tl1 0.5000 0.5000 0.0000 1
Sn1 0.0000 0.5000 0.5000 1
# - Crystal system: tetragonal
# - DFT formation energy: 221 meV/atom

---

# 6
# SrGaIrO6 PBE relaxed
data_SrGaIrO6
_chemical_formula_sum 'Sr1 Ga1 Ir1 O6'
_cell_length_a 5.2224
_cell_length_b 5.2224
_cell_length_c 5.3944
_cell_angle_alpha 90.00
_cell_angle_beta 90.00
_cell_angle_gamma 120.00
_symmetry_space_group_name_H-M 'P 3 1 2'
_symmetry_Int_Tables_number 149
_symmetry_space_group_name_Hall 'P 3 2'
loop_
_atom_site_label
_atom_site_fract_x
_atom_site_fract_y
_atom_site_fract_z
_atom_site_occupancy
Sr1 0.0000 0.0000 0.0000 1
Ga1 0.3333 0.6667 0.5000 1
Ir1 0.6667 0.3333 0.5000 1
O1 0.3820 0.0115 0.6997 1
# - Crystal system: trigonal
# - E_form (uncorrected): -1449 meV per atom

---

# 7
# CeGdYMg PBE relaxed
data_CeGdYMg
_chemical_formula_sum 'Ce4 Gd4 Y4 Mg4'
_cell_length_a 7.8162
_cell_length_b 7.8162
_cell_length_c 7.8162
_cell_angle_alpha 90.00
_cell_angle_beta 90.00
_cell_angle_gamma 90.00
_symmetry_space_group_name_H-M 'F -4 3 m'
_symmetry_Int_Tables_number 216
_symmetry_space_group_name_Hall 'F -4 2 3'
loop_
_atom_site_label
_atom_site_fract_x
_atom_site_fract_y
_atom_site_fract_z
_atom_site_occupancy
Ce1 0.0000 0.0000 0.0000 1
Gd1 0.2500 0.2500 0.2500 1
Y1 0.2500 0.2500 0.7500 1
Mg1 0.0000 0.0000 0.5000 1
# - Crystal system: cubic
# - DFT formation energy: 136 meV/atom

---

# 8
# PrSmDyAg PBE relaxed
data_PrSmDyAg
_chemical_formula_sum 'Pr1 Sm1 Dy1 Ag1'
_cell_length_a 3.6738
_cell_length_b 3.6738
_cell_length_c 8.8166
_cell_angle_alpha 90.00
_cell_angle_beta 90.00
_cell_angle_gamma 90.00
_symmetry_space_group_name_H-M 'P 4 m m'
_symmetry_Int_Tables_number 99
_symmetry_space_group_name_Hall 'P 4 -2'
loop_
_atom_site_label
_atom_site_fract_x
_atom_site_fract_y
_atom_site_fract_z
_atom_site_occupancy
Pr1 0.0000 0.0000 0.0000 1
Sm1 0.5000 0.5000 0.7051 1
Dy1 0.5000 0.5000 0.2897 1
Ag1 0.0000 0.0000 0.4863 1
# - Crystal system: tetragonal
# - DFT formation energy: -125 meV/atom
# - Polymorph energy (0 for the lowest one): 0.000 eV/atom

---

# 9
# Cs4La6F19 PBE relaxed
data_Cs4La6F19
_chemical_formula_sum 'Cs8 La12 F38'
_cell_length_a 11.8773
_cell_length_b 11.8773
_cell_length_c 11.8773
_cell_angle_alpha 90.00
_cell_angle_beta 90.00
_cell_angle_gamma 90.00
_symmetry_space_group_name_H-M 'I 2 3'
_symmetry_Int_Tables_number 197
_symmetry_space_group_name_Hall 'I 2 2 3'
loop_
_atom_site_label
_atom_site_fract_x
_atom_site_fract_y
_atom_site_fract_z
_atom_site_occupancy
Cs1 0.1373 0.1373 0.1373 1
La1 0.0000 0.1651 0.5000 1
F1 0.0000 0.0000 0.0000 1
F2 0.0000 0.0000 0.3827 1
F3 0.0041 0.3005 0.3550 1
# - Crystal system: cubic
# - E_form (uncorrected): -3507 meV per atom

---

# 10
# SrBeCd2 PBE relaxed
data_SrBeCd2
_chemical_formula_sum 'Sr2 Be2 Cd4'
_cell_length_a 3.9910
_cell_length_b 5.5106
_cell_length_c 8.8640
_cell_angle_alpha 90.00
_cell_angle_beta 90.00
_cell_angle_gamma 90.00
_symmetry_space_group_name_H-M 'I m m m'
_symmetry_Int_Tables_number 71
_symmetry_space_group_name_Hall '-I 2 2'
loop_
_atom_site_label
_atom_site_fract_x
_atom_site_fract_y
_atom_site_fract_z
_atom_site_occupancy
Sr1 0.0000 0.0000 0.0000 1
Be1 0.0000 0.0000 0.5000 1
Cd1 0.0000 0.5000 0.1985 1
# - Crystal system: orthorhombic
# - DFT formation energy: 173 meV/atom

---

# 11
# NiTe2I PBE relaxed
data_NiTe2I
_chemical_formula_sum 'Ni3 Te6 I3'
_cell_length_a 3.6597
_cell_length_b 3.6597
_cell_length_c 28.3328
_cell_angle_alpha 90.00
_cell_angle_beta 90.00
_cell_angle_gamma 120.00
_symmetry_space_group_name_H-M 'R 3 m'
_symmetry_Int_Tables_number 160
_symmetry_space_group_name_Hall 'R 3 -2"'
loop_
_atom_site_label
_atom_site_fract_x
_atom_site_fract_y
_atom_site_fract_z
_atom_site_occupancy
Ni1 0.0000 0.0000 0.0000 1
Te1 0.0000 0.0000 0.1448 1
Te2 0.0000 0.0000 0.7205 1
I1 0.0000 0.0000 0.6065 1
# - Crystal system: trigonal
# - E_form (uncorrected): 170 meV per atom

---

# 12
# CaCeY2Se4 PBE relaxed
data_CaCeY2Se4
_chemical_formula_sum 'Ca1 Ce1 Y2 Se4'
_cell_length_a 7.1656
_cell_length_b 4.1226
_cell_length_c 7.2140
_cell_angle_alpha 90.00
_cell_angle_beta 109.20
_cell_angle_gamma 90.00
_symmetry_space_group_name_H-M 'P 1 2/m 1'
_symmetry_Int_Tables_number 10
_symmetry_space_group_name_Hall '-P 2y'
loop_
_atom_site_label
_atom_site_fract_x
_atom_site_fract_y
_atom_site_fract_z
_atom_site_occupancy
Ca1 0.0000 0.0000 0.0000 1
Ce1 0.0000 0.5000 0.5000 1
Y1 0.5000 0.0000 0.5000 1
Y2 0.5000 0.5000 0.0000 1
Se1 0.2555 0.5000 0.2485 1
Se2 0.2576 0.0000 0.7567 1
# - Crystal system: monoclinic
# - E_form (uncorrected): -1832 meV per atom

---

One value per record, in order, for N(E_F): 6.045; 5.913; 0.000; 2.691; 2.425; 5.936; 9.343; 5.734; 14.139; 2.085; 3.258; 8.316 states/eV/f.u..
One value per record, in order, for size of the total moment: 0.00; 0.00; 0.00; 7.99; 0.00; 1.15; 37.75; 0.00; 2.46; 0.00; 0.00; 1.10 Bohr magnetons per cell.